Entry 1:
Compound: Mg2PW2
Source: the Alexandria database
Functional: PBEsol
Structure: relaxed

Summary:
**Energy of formation from the pure elements**: 0.914 eV per atom
**Mass density**: 8.98 g/cm3
**SG**: I4/mmm

```
Mg2PW2
1.0
-0.822 2.310 -2.310
-3.142 -1.209 -0.090
0.054 4.066 6.503
P W Mg
1 2 2
Direct
0.000 0.000 0.000
0.584 0.584 0.169
0.416 0.416 0.831
0.250 0.750 0.500
0.750 0.250 0.500
```

***

Entry 2:
Compound: Y3MgP
Source: the Alexandria database
Functional: PBEsol
Structure: relaxed

Summary:
**Energy of formation from the pure elements**: -0.540 eV per atom
**Mass density**: 3.66 g/cm3
**SG**: Pm-3m

```
Y3MgP
1.0
-4.660 2.335 -0.761
-2.040 -4.588 -1.592
-1.369 -1.114 4.963
Mg Y P
1 3 1
Direct
0.500 0.500 0.500
0.000 0.500 0.000
0.000 0.000 0.500
0.500 0.000 0.000
0.000 0.000 0.000
```